No. 1
## PrHfTaN3 (PBE)

Data for PrHfTaN3 after structural relaxation.

a b c (Å): 3.222 6.286 9.427
angles (deg): 100.65 90.00 90.00
Atoms (fractional coordinates):
N: 0.250 0.100 0.823
N: 0.250 0.574 0.883
N: 0.750 0.189 0.462
N: 0.750 0.900 0.177
N: 0.750 0.426 0.117
N: 0.250 0.811 0.538
Hf: 0.750 0.324 0.890
Hf: 0.250 0.676 0.110
Pr: 0.250 0.218 0.249
Pr: 0.750 0.782 0.751
Ta: 0.750 0.845 0.402
Ta: 0.250 0.155 0.598

Values from the calculation:
Formation energy from raw total energies: -1172 meV/atom
Crystal system: monoclinic
Magnetic moment: 0.000 μB/atom

---

No. 2
## TbPr2HfN4 (PBE)

Data for TbPr2HfN4 after structural relaxation.

a b c (Å): 3.478 6.124 6.043
angles (deg): 71.06 90.00 90.00
Atoms (fractional coordinates):
Tb: 0.000 0.500 0.500
Pr: 0.500 0.000 0.500
Pr: 0.000 0.000 0.000
N: 0.500 0.723 0.241
N: 0.000 0.283 0.225
N: 0.000 0.717 0.775
N: 0.500 0.277 0.759
Hf: 0.500 0.500 0.000

Values from the calculation:
Formation energy from raw total energies: -1510 meV/atom
Crystal system: monoclinic
Magnetic moment: 0.000 μB/atom

---

No. 3
## TbPrHfN3 (PBE)

Data for TbPrHfN3 after structural relaxation.

a b c (Å): 3.317 6.516 9.615
angles (deg): 93.79 90.00 90.00
Atoms (fractional coordinates):
N: 0.750 0.150 0.417
N: 0.750 0.402 0.107
N: 0.250 0.598 0.893
N: 0.750 0.850 0.161
N: 0.250 0.150 0.839
N: 0.250 0.850 0.583
Tb: 0.250 0.207 0.573
Tb: 0.750 0.793 0.427
Hf: 0.250 0.648 0.106
Hf: 0.750 0.352 0.894
Pr: 0.250 0.157 0.210
Pr: 0.750 0.843 0.790

Values from the calculation:
Formation energy from raw total energies: -1351 meV/atom
Crystal system: monoclinic
Magnetic moment: 0.076 μB/atom

---

No. 4
## Pr2HfTc2N6 (PBE)

Data for Pr2HfTc2N6 after structural relaxation.

a b c (Å): 5.998 5.998 6.600
angles (deg): 62.97 62.97 60.00
Atoms (fractional coordinates):
N: 0.760 0.760 0.255
N: 0.240 0.240 0.745
N: 0.760 0.225 0.255
N: 0.240 0.775 0.745
N: 0.225 0.760 0.255
N: 0.775 0.240 0.745
Tc: 0.434 0.434 0.697
Tc: 0.566 0.566 0.303
Pr: 0.797 0.797 0.609
Pr: 0.203 0.203 0.391
Hf: 0.000 0.000 0.000

Values from the calculation:
Formation energy from raw total energies: -644 meV/atom
Crystal system: trigonal
Magnetic moment: 0.000 μB/atom

---

No. 5
## PrHfThN3 (PBE)

Data for PrHfThN3 after structural relaxation.

a b c (Å): 3.536 7.416 8.326
angles (deg): 83.91 90.00 90.00
Atoms (fractional coordinates):
N: 0.250 0.172 0.813
N: 0.750 0.828 0.187
N: 0.250 0.871 0.578
N: 0.750 0.373 0.105
N: 0.250 0.627 0.895
N: 0.750 0.129 0.422
Th: 0.750 0.414 0.832
Th: 0.250 0.586 0.168
Pr: 0.750 0.885 0.857
Pr: 0.250 0.115 0.143
Hf: 0.750 0.845 0.444
Hf: 0.250 0.155 0.556

Values from the calculation:
Formation energy from raw total energies: -1254 meV/atom
Crystal system: monoclinic
Magnetic moment: 0.000 μB/atom

---

No. 6
## PrHf2TiN4 (PBE)

Data for PrHf2TiN4 after structural relaxation.

a b c (Å): 3.264 5.959 11.382
angles (deg): 90.00 90.00 105.89
Atoms (fractional coordinates):
Ti: 0.163 0.326 0.250
Ti: 0.837 0.674 0.750
N: 0.000 0.000 0.500
N: 0.740 0.480 0.888
N: 0.437 0.874 0.750
N: 0.563 0.126 0.250
N: 0.260 0.520 0.388
N: 0.000 0.000 0.000
N: 0.260 0.520 0.112
N: 0.740 0.480 0.612
Pr: 0.900 0.799 0.250
Pr: 0.100 0.201 0.750
Hf: 0.370 0.740 0.962
Hf: 0.370 0.740 0.538
Hf: 0.630 0.260 0.462
Hf: 0.630 0.260 0.038

Values from the calculation:
Formation energy from raw total energies: -1457 meV/atom
Crystal system: orthorhombic
Magnetic moment: 0.000 μB/atom